# 1
First-principles (GGA-PBE) data for an optimized crystal structure of HfInCoAg, as listed in OQMD via LeMat-Bulk.

* distance to the lowest polymorph of the same formula: 0.0 meV per atom
* space group: F-43m (216)

Cell and atoms, written as POSCAR:
```
HfInCoAg
1.0
0.0000 3.2574 3.2574
3.2574 0.0000 3.2574
3.2574 3.2574 0.0000
Ag Co Hf In
1 1 1 1
Direct
0.2500 0.2500 0.2500
0.7500 0.7500 0.7500
0.5000 0.5000 0.5000
0.0000 0.0000 0.0000
```


# 2
First-principles (GGA-PBE) data for an optimized crystal structure of HoErCo2Si2C, as listed in OQMD via LeMat-Bulk.

* space group: Cm (8)

Cell and atoms, written as POSCAR:
```
HoErCo2Si2C
1.0
5.2599 -1.9272 0.0000
5.2599 1.9272 0.0000
-4.3007 0.0000 5.2120
C Co Er Ho Si
1 2 1 1 2
Direct
0.0001 0.0001 0.0004
0.1992 0.1992 0.0884
0.8009 0.8009 0.9118
0.5633 0.5633 0.2964
0.4365 0.4365 0.7033
0.8443 0.8443 0.2972
0.1556 0.1556 0.7026
```


# 3
First-principles (GGA-PBE) data for an optimized crystal structure of Nd2GdMg3Ni2Au, as listed in OQMD via LeMat-Bulk.

* space group: Amm2 (38)

Cell and atoms, written as POSCAR:
```
Nd2GdMg3Ni2Au
1.0
4.0344 0.0000 0.0000
0.0000 6.5299 3.7563
0.0000 -6.5299 3.7563
Au Gd Mg Nd Ni
1 1 3 2 2
Direct
0.0000 0.9963 0.9963
0.0000 0.5811 0.5811
0.5000 0.2504 0.2504
0.5000 0.9974 0.7506
0.5000 0.7506 0.9974
0.0000 0.4211 0.0000
0.0000 0.0000 0.4211
0.5000 0.6652 0.3380
0.5000 0.3380 0.6652
```


# 4
First-principles (GGA-PBE) data for an optimized crystal structure of LiNd3Ni8, as listed in OQMD via LeMat-Bulk.

* space group: R3m (160)

Cell and atoms, written as POSCAR:
```
LiNd3Ni8
1.0
6.9235 -0.9878 5.3523
7.7082 3.2626 2.7382
4.6213 3.2899 6.7363
Li Nd Ni
1 3 8
Direct
0.1300 0.1300 0.1300
0.0090 0.0090 0.0090
0.4930 0.4930 0.4930
0.6221 0.6221 0.6221
0.5651 0.5651 0.0597
0.5599 0.0611 0.0611
0.0611 0.5599 0.0611
0.3123 0.3123 0.3123
0.0611 0.0611 0.5599
0.5651 0.0597 0.5651
0.0597 0.5651 0.5651
0.8115 0.8115 0.8115
```


One value per record, in order, for DFT total energy: -5.710 -6.898 -4.095 -5.363 eV per atom.